Record 1
VASP calculation (PBE-GGA) on a relaxed Tb3Si6PdRh2 crystal.

Geometry as POSCAR:
```
Tb3Si6PdRh2
1.0
5.3133 0.0000 0.0000
-2.6566 4.6014 0.0000
0.0000 0.0000 9.0187
Tb Si Pd Rh
3 6 1 2
Cartesian
0.0000 3.0676 5.2424 Tb
2.6566 1.5338 3.7762 Tb
0.0000 0.0000 0.0000 Tb
1.3053 3.8212 2.4737 Si
0.0000 1.5604 2.4737 Si
-1.3053 3.8212 2.4737 Si
2.6566 3.0411 6.5449 Si
1.3513 0.7802 6.5449 Si
3.9619 0.7802 6.5449 Si
0.0000 0.0000 4.5093 Pd
2.6566 1.5338 8.4124 Rh
0.0000 3.0676 0.6063 Rh
```

- DOS(E_F) (states/eV per atom) = 0.398
- crystal system = trigonal
- energy relative to the elements, uncorrected (eV/atom) = -0.5282
- E (eV/atom) = -6.0552

=====

Record 2
VASP calculation (PBE-GGA) on a relaxed Pm3Tm5 crystal.

Geometry as POSCAR:
```
Pm3Tm5
1.0
3.6082 0.0000 0.0000
0.0000 5.6586 0.0000
0.0000 0.0000 12.5323
Pm Tm
3 5
Cartesian
1.8041 0.0000 8.9332 Pm
1.8041 2.8293 6.7291 Pm
0.0000 2.8293 9.9549 Pm
0.0000 0.0000 12.0827 Tm
1.8041 0.0000 2.5954 Tm
0.0000 0.0000 5.6523 Tm
1.8041 2.8293 0.5702 Tm
0.0000 2.8293 3.6114 Tm
```

- DOS(E_F) (states/eV per atom) = 1.704
- crystal system = orthorhombic
- E (eV/atom) = -4.5578
- DFT formation energy (meV per atom) = 18